Entry 1:
Here is a geometry-optimized U7Mo structure from the Alexandria database. Energies are from PBE-GGA.

Geometry as CIF:
```
data_U7Mo
_chemical_formula_sum 'U7 Mo1'
_cell_length_a 3.018
_cell_length_b 5.171
_cell_length_c 10.154
_cell_angle_alpha 90.00
_cell_angle_beta 90.00
_cell_angle_gamma 90.00
_symmetry_space_group_name_H-M 'P 1'
_symmetry_Int_Tables_number 1
loop_
_symmetry_equiv_pos_as_xyz
'x,y,z'
loop_
_atom_site_label
_atom_site_type_symbol
_atom_site_fract_x
_atom_site_fract_y
_atom_site_fract_z
U1 U 0.000 0.500 0.500
U2 U 0.000 0.000 0.760
U3 U 0.500 0.500 0.248
U4 U 0.500 0.000 0.500
U5 U 0.000 0.000 0.240
U6 U 0.500 0.000 0.000
U7 U 0.500 0.500 0.752
Mo1 Mo 0.000 0.500 0.000
```

As for the density of states at the Fermi level: 2.852 states/eV/atom. Its formation energy is 0.1689 eV/atom.

Entry 2:
Here is a geometry-optimized UMo4 structure from the Alexandria database. Energies are from PBE-GGA.

Geometry as CIF:
```
data_UMo4
_chemical_formula_sum 'U1 Mo4'
_cell_length_a 4.727
_cell_length_b 4.727
_cell_length_c 4.727
_cell_angle_alpha 90.00
_cell_angle_beta 90.00
_cell_angle_gamma 90.00
_symmetry_space_group_name_H-M 'P 1'
_symmetry_Int_Tables_number 1
loop_
_symmetry_equiv_pos_as_xyz
'x,y,z'
loop_
_atom_site_label
_atom_site_type_symbol
_atom_site_fract_x
_atom_site_fract_y
_atom_site_fract_z
Mo1 Mo 0.000 0.500 0.500
Mo2 Mo 0.500 0.500 0.000
Mo3 Mo 0.500 0.000 0.500
Mo4 Mo 0.000 0.000 0.000
U1 U 0.500 0.500 0.500
```

As for the density of states at the Fermi level: 1.419 states/eV/atom. Its formation energy is 1.7577 eV/atom.

Number 1: final energy -11.06 eV/atom. Number 2: final energy -9.16 eV/atom.